# 1
6
Lattice="4.7086 0.0000 0.0000 2.3543 5.6571 -0.8820 2.3543 1.1345 5.2582" Properties=species:S:1:pos:R:3 comment="TlAgAs PBE-GGA optimized geometry" spacegroup="C2/m, No. 12" dft_energy_ev_per_fu=-9.65 pbc="T T T"
Ag 4.7086 4.6661 1.3502
Ag 4.7086 2.1255 3.0260
As 2.3543 1.1673 4.0366
As 7.0628 5.6242 0.3396
Tl 7.0628 4.6064 3.6887
Tl 2.3543 2.1852 0.6875

=====

# 2
5
Lattice="4.1974 0.0000 0.0000 0.0000 4.1974 0.0000 0.0000 0.0000 4.4276" Properties=species:S:1:pos:R:3 comment="BaIN2O PBE-GGA optimized geometry" formation_energy_uncorrected_kj_per_mol_atoms=25 spacegroup="P4/mmm, No. 123" pbc="T T T"
N 2.0987 0.0000 0.0000
N 0.0000 2.0987 0.0000
Ba 2.0987 2.0987 2.2138
I 0.0000 0.0000 0.0000
O 0.0000 0.0000 2.2138

=====

# 3
5
Lattice="-3.3230 -1.6993 -1.1679 1.4872 -3.5095 0.8749 -5.6123 -1.6208 11.7794" Properties=species:S:1:pos:R:3 comment="Cs2TlGa2 PBE-GGA optimized geometry" spacegroup="I4/mmm, No. 139" dft_energy_ev_per_fu=-9.59 pbc="T T T"
Cs -5.4462 -4.4524 8.8789
Cs -2.0019 -2.3773 2.6074
Tl 0.0000 0.0000 0.0000
Ga -2.5215 -3.8674 6.2539
Ga -4.9266 -2.9623 5.2325

=====

# 4
5
Lattice="4.9149 0.0000 0.0000 0.0000 5.3391 0.0000 0.0000 0.0000 4.9149" Properties=species:S:1:pos:R:3 comment="YVRu2Cl PBE-GGA optimized geometry" formation_energy_uncorrected_kj_per_mol_atoms=206 spacegroup="P4/mmm, No. 123" pbc="T T T"
Cl 2.4574 2.6695 2.4574
Y 0.0000 0.0000 0.0000
Ru 2.4574 0.0000 0.0000
Ru 0.0000 0.0000 2.4574
V 0.0000 2.6695 0.0000

=====

# 5
12
Lattice="2.2676 5.0888 -6.9740 -1.0304 -8.6994 1.7126 -8.6706 2.0407 0.5758" Properties=species:S:1:pos:R:3 comment="La8Tb3Th PBE-GGA optimized geometry" spacegroup="I222, No. 23" dft_energy_ev_per_fu=-56.81 pbc="T T T"
La -2.7034 -5.7683 1.2267
La -4.1359 4.6062 -6.0524
La -3.9976 -1.0862 -4.3356
La -8.3093 -3.8289 0.7997
La 0.8370 2.3723 -5.3202
La -1.6759 0.7977 -2.8604
La -3.3970 -0.5971 -0.5150
La -6.3517 -2.7754 -1.6850
Th 0.0000 0.0000 0.0000
Tb -1.1601 -3.0262 -2.2111
Tb -4.8505 -3.3294 1.1442
Tb -6.2733 1.4562 -2.4745

=====

# 6
4
Lattice="1.6676 0.0000 9.7856 -0.8338 1.4442 9.7856 -0.8338 -1.4442 9.7856" Properties=species:S:1:pos:R:3 comment="Sc2MnRe PBE-GGA optimized geometry" spacegroup="R-3m, No. 166" dft_energy_ev_per_fu=-32.16 pbc="T T T"
Sc 0.0000 0.0000 2.6605
Sc 0.0000 0.0000 26.6964
Mn 0.0000 0.0000 14.6784
Re 0.0000 0.0000 0.0000

=====

# 7
4
Lattice="-0.7419 -1.8425 3.4760 -2.3933 -3.2080 0.0943 1.5401 -3.6261 0.7122" Properties=species:S:1:pos:R:3 comment="Ge2CN PBE-GGA optimized geometry" formation_energy_uncorrected_kj_per_mol_atoms=173 spacegroup="Fm-3m, No. 225" pbc="T T T"
Ge -1.1963 -6.5074 3.2119
Ge -0.3988 -2.1691 1.0706
C 0.0000 0.0000 0.0000
N -0.7976 -4.3383 2.1413

=====

# 8
8
Lattice="-4.8927 0.0459 -4.4038 4.2780 -1.5141 -4.7687 -1.1760 -7.2015 1.2315" Properties=species:S:1:pos:R:3 comment="AlCl PBE-GGA optimized geometry" formation_energy_uncorrected_kj_per_mol_atoms=-29 spacegroup="P4_2/mnm, No. 136" pbc="T T T"
Cl -3.8157 -3.8381 -3.8543
Cl -0.4190 -1.0006 -6.2516
Cl -0.1958 -0.4675 -2.9209
Cl 2.0250 -4.8316 -4.0867
Al 1.5013 -1.0417 -4.6582
Al -1.0815 -4.7793 -6.7477
Al -2.1160 -0.4264 -4.5143
Al -0.7092 -3.8903 -1.1933

=====

# 9
8
Lattice="6.1039 0.0000 0.0000 0.0000 6.1039 0.0000 0.0000 0.0000 6.1039" Properties=species:S:1:pos:R:3 comment="Na3WS4 PBE-GGA optimized geometry" formation_energy_uncorrected_kj_per_mol_atoms=-78 spacegroup="P-43m, No. 215" pbc="T T T"
W 0.0000 0.0000 0.0000
S 4.8025 4.8025 1.3014
S 1.3014 1.3014 1.3014
S 4.8025 1.3014 4.8025
S 1.3014 4.8025 4.8025
Na 0.0000 3.0519 3.0519
Na 3.0519 3.0519 0.0000
Na 3.0519 0.0000 3.0519

=====

# 10
6
Lattice="-1.3536 2.6905 -2.8010 -1.8945 -0.3105 3.6375 8.4410 6.2413 4.9076" Properties=species:S:1:pos:R:3 comment="HoGaBr PBE-GGA optimized geometry" formation_energy_uncorrected_kj_per_mol_atoms=-116 spacegroup="C2/m, No. 12" pbc="T T T"
Ho 4.5117 4.3863 5.0385
Ho 0.6812 4.2350 0.7056
Br -0.5666 2.0100 2.1912
Br 5.7595 6.6114 3.5529
Ga 3.2402 3.7209 1.9945
Ga 1.9528 4.9004 3.7496

=====

# 11
4
Lattice="-3.2134 -0.9575 1.2497 -1.8471 -2.6016 -1.6199 1.7740 -6.6014 4.6268" Properties=species:S:1:pos:R:3 comment="ErAlS2 PBE-GGA optimized geometry" formation_energy_uncorrected_kj_per_mol_atoms=-92 spacegroup="R-3m, No. 166" pbc="T T T"
S -3.8945 -5.3836 1.2302
S 0.6079 -4.7769 3.0263
Er 0.0000 0.0000 0.0000
Al -1.6433 -5.0802 2.1283

=====

# 12
5
Lattice="-1.5698 -2.6735 -3.8478 3.6241 -3.2648 0.7899 -2.9696 -2.5711 2.9980" Properties=species:S:1:pos:R:3 comment="Er3AlB PBE-GGA optimized geometry" spacegroup="Pm-3m, No. 221" dft_energy_ev_per_fu=-24.94 pbc="T T T"
Er -1.4848 -1.2855 1.4990
Er 1.8120 -1.6324 0.3950
Er -0.7849 -1.3367 -1.9239
B 0.0000 0.0000 0.0000
Al -0.4577 -4.2547 -0.0299

=====

no.,size of the total moment (μB/atom)
1,0.000
2,0.000
3,0.193
4,0.391
5,0.000
6,0.518
7,0.000
8,0.000
9,0.128
10,0.000
11,0.000
12,0.000